Below is a relaxed structure of ZnGa6Tc2, with properties calculated at the GGA-PBE level.

Cell lengths 5.0566, 5.0566, 7.9109 Å; angles 71.36, 71.36, 60.00 degrees
Fractional positions:
Ga 0.0652 0.5719 0.2978
Ga 0.2647 0.7678 0.7027
Ga 0.2647 0.2647 0.7027
Ga 0.7678 0.2647 0.7027
Ga 0.5719 0.0652 0.2978
Ga 0.0652 0.0652 0.2978
Tc 0.6144 0.6144 0.1567
Tc 0.7188 0.7188 0.8436
Zn 0.3329 0.3329 0.0012

Calculated values
ΔH_f (0 K), kJ/mol of atoms: 15.9
Space group: R3m, No. 160